# LiNiO2F

Crystalline LiNiO2F at its relaxed geometry (GGA+U, Alexandria via LeMat-Bulk).

Calculated values
DFT total energy (eV/f.u.): -21.24

abc: 3.6959 3.6959 4.0830
angles: 90.00 90.00 90.00
With the nearest neighbours (Å) after each atom.
Space group P4/mmm (No. 123)
Inequivalent atoms, fractional coordinates:
Li: 0.0000 0.0000 0.0000 x1  4 F 2.61, 8 O 2.75
Ni: 0.5000 0.5000 0.5000 x1  4 O 1.85, 2 F 2.04
O: 0.0000 0.5000 0.5000 x2  2 Ni 1.85
F: 0.5000 0.5000 0.0000 x1  2 Ni 2.04